Record 1
# Er2Mg3Zn2 GGA-PBE relaxed
data_Er2Mg3Zn2
_space_group_name_H-M_alt 'P 1'
_space_group_IT_number 1
_cell_length_a 3.398
_cell_length_b 4.499
_cell_length_c 10.699
_cell_angle_alpha 102.14
_cell_angle_beta 90.00
_cell_angle_gamma 90.00
loop_
_space_group_symop_operation_xyz
'x,y,z'
loop_
_atom_site_label
_atom_site_fract_x
_atom_site_fract_y
_atom_site_fract_z
Mg1 0.500 0.423 0.847
Mg2 0.000 0.000 0.000
Mg3 0.500 0.577 0.153
Zn1 0.500 0.715 0.430
Zn2 0.500 0.285 0.570
Er1 0.000 0.834 0.668
Er2 0.000 0.166 0.332
# Symmetry: No. 65
# Energy relative to the elements in meV/atom: -178
# Polymorph energy (0 for the lowest one) in meV/atom: 2


Record 2
# Er3Mg2Zn3 GGA-PBE relaxed
data_Er3Mg2Zn3
_space_group_name_H-M_alt 'P 1'
_space_group_IT_number 1
_cell_length_a 3.479
_cell_length_b 5.064
_cell_length_c 10.629
_cell_angle_alpha 103.78
_cell_angle_beta 99.42
_cell_angle_gamma 90.00
loop_
_space_group_symop_operation_xyz
'x,y,z'
loop_
_atom_site_label
_atom_site_fract_x
_atom_site_fract_y
_atom_site_fract_z
Mg1 0.266 0.766 0.532
Mg2 0.734 0.234 0.468
Zn1 0.000 0.500 0.000
Zn2 0.121 0.121 0.242
Zn3 0.879 0.879 0.758
Er1 0.379 0.379 0.757
Er2 0.500 0.000 0.000
Er3 0.621 0.621 0.243
# Symmetry: No. 71
# Energy relative to the elements in meV/atom: -234


Record 3
# ErMg8Zn4 GGA-PBE relaxed
data_ErMg8Zn4
_space_group_name_H-M_alt 'P 1'
_space_group_IT_number 1
_cell_length_a 5.581
_cell_length_b 7.387
_cell_length_c 7.387
_cell_angle_alpha 81.80
_cell_angle_beta 67.81
_cell_angle_gamma 67.81
loop_
_space_group_symop_operation_xyz
'x,y,z'
loop_
_atom_site_label
_atom_site_fract_x
_atom_site_fract_y
_atom_site_fract_z
Mg1 0.345 0.655 0.655
Mg2 0.655 0.345 0.345
Mg3 0.000 0.345 0.655
Mg4 0.713 0.787 0.787
Mg5 0.287 0.213 0.213
Mg6 0.500 0.787 0.213
Mg7 0.000 0.655 0.345
Mg8 0.500 0.213 0.787
Zn1 0.000 0.500 0.000
Zn2 0.500 0.000 0.500
Zn3 0.000 0.000 0.500
Zn4 0.500 0.500 0.000
Er1 0.000 0.000 0.000
# Symmetry: No. 139
# Energy relative to the elements in meV/atom: -113


Record 4
# ErMg2Zn2 GGA-PBE relaxed
data_ErMg2Zn2
_space_group_name_H-M_alt 'P 1'
_space_group_IT_number 1
_cell_length_a 4.188
_cell_length_b 4.188
_cell_length_c 12.465
_cell_angle_alpha 99.67
_cell_angle_beta 99.67
_cell_angle_gamma 90.00
loop_
_space_group_symop_operation_xyz
'x,y,z'
loop_
_atom_site_label
_atom_site_fract_x
_atom_site_fract_y
_atom_site_fract_z
Mg1 0.500 0.000 0.000
Mg2 0.181 0.181 0.362
Mg3 0.000 0.500 0.000
Mg4 0.819 0.819 0.638
Er1 0.621 0.621 0.241
Er2 0.379 0.379 0.759
Zn1 0.925 0.925 0.850
Zn2 0.075 0.075 0.150
Zn3 0.250 0.750 0.500
Zn4 0.750 0.250 0.500
# Symmetry: No. 139
# Energy relative to the elements in meV/atom: -98
# Polymorph energy (0 for the lowest one) in meV/atom: 31


Record 5
# ErMg2Zn3 GGA-PBE relaxed
data_ErMg2Zn3
_space_group_name_H-M_alt 'P 1'
_space_group_IT_number 1
_cell_length_a 4.755
_cell_length_b 4.755
_cell_length_c 11.748
_cell_angle_alpha 90.00
_cell_angle_beta 90.00
_cell_angle_gamma 120.00
loop_
_space_group_symop_operation_xyz
'x,y,z'
loop_
_atom_site_label
_atom_site_fract_x
_atom_site_fract_y
_atom_site_fract_z
Er1 0.667 0.333 0.338
Er2 0.333 0.667 0.662
Zn1 0.000 0.000 0.241
Zn2 0.000 0.000 0.759
Zn3 0.667 0.333 0.085
Zn4 0.333 0.667 0.915
Zn5 0.333 0.667 0.415
Zn6 0.667 0.333 0.585
Mg1 0.000 0.000 0.000
Mg2 0.000 0.000 0.500
Mg3 0.333 0.667 0.164
Mg4 0.667 0.333 0.836
# Symmetry: No. 164
# Energy relative to the elements in meV/atom: -229


Record 6
# ErMg3Zn8 GGA-PBE relaxed
data_ErMg3Zn8
_space_group_name_H-M_alt 'P 1'
_space_group_IT_number 1
_cell_length_a 5.290
_cell_length_b 5.290
_cell_length_c 9.127
_cell_angle_alpha 73.15
_cell_angle_beta 73.15
_cell_angle_gamma 60.00
loop_
_space_group_symop_operation_xyz
'x,y,z'
loop_
_atom_site_label
_atom_site_fract_x
_atom_site_fract_y
_atom_site_fract_z
Zn1 0.688 0.688 0.936
Zn2 0.937 0.436 0.691
Zn3 0.188 0.188 0.437
Zn4 0.436 0.937 0.691
Zn5 0.438 0.941 0.183
Zn6 0.438 0.438 0.183
Zn7 0.937 0.937 0.691
Zn8 0.941 0.438 0.183
Er1 0.876 0.876 0.372
Mg1 0.001 0.001 0.997
Mg2 0.497 0.497 0.508
Mg3 0.374 0.374 0.878
# Symmetry: No. 160
# Energy relative to the elements in meV/atom: -182
# Polymorph energy (0 for the lowest one) in meV/atom: 6


Record 7
# Er3Mg3Zn2 GGA-PBE relaxed
data_Er3Mg3Zn2
_space_group_name_H-M_alt 'P 1'
_space_group_IT_number 1
_cell_length_a 3.741
_cell_length_b 7.750
_cell_length_c 7.750
_cell_angle_alpha 120.00
_cell_angle_beta 90.00
_cell_angle_gamma 90.00
loop_
_space_group_symop_operation_xyz
'x,y,z'
loop_
_atom_site_label
_atom_site_fract_x
_atom_site_fract_y
_atom_site_fract_z
Zn1 0.000 0.667 0.333
Zn2 0.000 0.333 0.667
Mg1 0.000 0.767 0.767
Mg2 0.000 0.000 0.233
Mg3 0.000 0.233 0.000
Er1 0.500 0.414 0.414
Er2 0.500 0.000 0.586
Er3 0.500 0.586 0.000
# Symmetry: No. 189
# Energy relative to the elements in meV/atom: -154


Record 8
# ErMgZn17 GGA-PBE relaxed
data_ErMgZn17
_space_group_name_H-M_alt 'P 1'
_space_group_IT_number 1
_cell_length_a 6.779
_cell_length_b 6.779
_cell_length_c 6.779
_cell_angle_alpha 82.49
_cell_angle_beta 82.49
_cell_angle_gamma 82.49
loop_
_space_group_symop_operation_xyz
'x,y,z'
loop_
_atom_site_label
_atom_site_fract_x
_atom_site_fract_y
_atom_site_fract_z
Zn1 0.299 0.003 0.691
Zn2 0.501 0.990 0.990
Zn3 0.990 0.990 0.501
Zn4 0.299 0.691 0.003
Zn5 0.106 0.106 0.106
Zn6 0.163 0.648 0.648
Zn7 0.691 0.299 0.003
Zn8 0.900 0.900 0.900
Zn9 0.648 0.163 0.648
Zn10 0.990 0.501 0.990
Zn11 0.648 0.648 0.163
Zn12 0.350 0.350 0.841
Zn13 0.841 0.350 0.350
Zn14 0.691 0.003 0.299
Zn15 0.350 0.841 0.350
Zn16 0.003 0.691 0.299
Zn17 0.003 0.299 0.691
Mg1 0.364 0.364 0.364
Er1 0.662 0.662 0.662
# Symmetry: No. 160
# Energy relative to the elements in meV/atom: -116


Record 9
# Er2Mg3Zn2 GGA-PBE relaxed
data_Er2Mg3Zn2
_space_group_name_H-M_alt 'P 1'
_space_group_IT_number 1
_cell_length_a 4.392
_cell_length_b 5.537
_cell_length_c 7.209
_cell_angle_alpha 96.85
_cell_angle_beta 90.00
_cell_angle_gamma 113.37
loop_
_space_group_symop_operation_xyz
'x,y,z'
loop_
_atom_site_label
_atom_site_fract_x
_atom_site_fract_y
_atom_site_fract_z
Zn1 0.083 0.165 0.648
Zn2 0.917 0.835 0.352
Mg1 0.000 0.000 0.000
Mg2 0.315 0.630 0.138
Mg3 0.685 0.370 0.862
Er1 0.628 0.257 0.358
Er2 0.372 0.743 0.642
# Symmetry: No. 12
# Energy relative to the elements in meV/atom: -180
# Polymorph energy (0 for the lowest one) in meV/atom: 0


Record 10
# ErMg9Zn2 GGA-PBE relaxed
data_ErMg9Zn2
_space_group_name_H-M_alt 'P 1'
_space_group_IT_number 1
_cell_length_a 7.502
_cell_length_b 9.194
_cell_length_c 9.194
_cell_angle_alpha 80.42
_cell_angle_beta 65.92
_cell_angle_gamma 65.92
loop_
_space_group_symop_operation_xyz
'x,y,z'
loop_
_atom_site_label
_atom_site_fract_x
_atom_site_fract_y
_atom_site_fract_z
Zn1 0.875 0.250 0.250
Zn2 0.875 0.750 0.250
Zn3 0.875 0.250 0.750
Zn4 0.375 0.750 0.750
Mg1 0.142 0.425 0.182
Mg2 0.001 0.925 0.682
Mg3 0.000 0.000 0.000
Mg4 0.676 0.575 0.182
Mg5 0.074 0.318 0.925
Mg6 0.317 0.682 0.075
Mg7 0.750 0.500 0.500
Mg8 0.608 0.318 0.075
Mg9 0.749 0.818 0.575
Mg10 0.433 0.425 0.818
Mg11 0.142 0.182 0.425
Mg12 0.001 0.682 0.925
Mg13 0.433 0.818 0.425
Mg14 0.676 0.182 0.575
Mg15 0.074 0.925 0.318
Mg16 0.749 0.575 0.818
Mg17 0.317 0.075 0.682
Mg18 0.608 0.075 0.318
Er1 0.250 0.500 0.500
Er2 0.500 0.000 0.000
# Symmetry: No. 141
# Energy relative to the elements in meV/atom: -30


Record 11
# Er4MgZn3 GGA-PBE relaxed
data_Er4MgZn3
_space_group_name_H-M_alt 'P 1'
_space_group_IT_number 1
_cell_length_a 3.610
_cell_length_b 5.064
_cell_length_c 10.120
_cell_angle_alpha 90.00
_cell_angle_beta 90.00
_cell_angle_gamma 90.00
loop_
_space_group_symop_operation_xyz
'x,y,z'
loop_
_atom_site_label
_atom_site_fract_x
_atom_site_fract_y
_atom_site_fract_z
Zn1 0.500 0.500 0.500
Zn2 0.500 0.000 0.757
Zn3 0.500 0.000 0.243
Mg1 0.500 0.500 0.000
Er1 0.000 0.000 0.000
Er2 0.000 0.500 0.738
Er3 0.000 0.500 0.262
Er4 0.000 0.000 0.500
# Symmetry: No. 47
# Energy relative to the elements in meV/atom: -266